Record 1
# ZnSbPd6

A relaxed ZnSbPd6 crystal (PBE, Alexandria via LeMat-Bulk).

ΔE_f (raw), eV per atom: -0.3752
E above lowest polymorph, kJ per mole of atoms: 0.0

abc: 7.9185 7.9220 4.0254
angles: 90.00 90.00 90.00
Last column: nearest neighbours and their distance in Å.
Space group Cmmm (No. 65)
Asymmetric unit:
Zn 0.0000 0.0000 0.0000 [2 per cell]  12 Pd 2.79-2.81
Sb 0.0000 0.5000 0.0000 [2 per cell]  12 Pd 2.80-2.85
Pd 0.0000 0.2483 0.5000 [4 per cell]  8 Pd 2.76-2.84, 2 Zn 2.81, 2 Sb 2.83
Pd 0.2445 0.0000 0.5000 [4 per cell]  8 Pd 2.76-2.84, 2 Zn 2.79, 2 Sb 2.85
Pd 0.2500 0.2500 0.0000 [4 per cell]  2 Zn 2.80, 2 Sb 2.80, 8 Pd 2.82


Record 2
# Ac2La12Tb5

A relaxed Ac2La12Tb5 crystal (PBE, Alexandria via LeMat-Bulk).

Calculated formation energy, eV per atom: 0.099

abc: 13.4816 11.8673 9.7239
angles: 90.00 117.15 90.00
Last column: nearest neighbours and their distance in Å.
Space group C2/m (No. 12)
Asymmetric unit:
Ac 0.0000 0.2340 0.0000 [4 per cell]  10 La 3.74-3.93, 2 Tb 3.80
La 0.0730 0.0000 0.7743 [4 per cell]  5 La 3.40-3.68, 2 Tb 3.53-3.80
La 0.1100 0.2161 0.4286 [8 per cell]  4 La 3.30-3.62, 2 Tb 3.61-3.69
La 0.1289 0.5000 0.9480 [4 per cell]  3 La 3.45-3.68, 2 Tb 3.45-3.62, 2 Ac 3.75
La 0.1866 0.2596 0.7991 [8 per cell]  5 La 3.30-3.62, 1 Tb 3.39
Tb 0.0000 0.5000 0.5000 [2 per cell]  4 Tb 3.59-3.72, 6 La 3.87-3.88
Tb 0.1886 0.5000 0.3325 [4 per cell]  6 La 3.45-3.80, 2 Tb 3.59-3.70
Tb 0.1941 0.0000 0.2419 [4 per cell]  6 La 3.39-3.62, 2 Tb 3.70-3.72


Record 3
# U2Tl2IrSe6

A relaxed U2Tl2IrSe6 crystal (PBE, Alexandria via LeMat-Bulk).

ΔE_f (raw), eV per atom: -0.6953

abc: 6.6482 11.5138 8.5516
angles: 90.00 107.16 90.00
Last column: nearest neighbours and their distance in Å.
Space group C2/m (No. 12)
Asymmetric unit:
U 0.0000 0.1727 0.0000 [4 per cell]  6 Se 2.83-2.86
Tl 0.0000 0.3254 0.5000 [4 per cell]  6 Se 3.29-3.35
Ir 0.0000 0.5000 0.0000 [2 per cell]  6 Se 2.59-2.62
Se 0.2318 0.5000 0.8046 [4 per cell]  1 Ir 2.59, 2 U 2.86
Se 0.2334 0.3495 0.2040 [8 per cell]  1 Ir 2.62, 2 U 2.83-2.84